DFT (PBE) results for an optimized crystal structure of NaIn4BiS8.

Computed properties:
crystal system: trigonal
symmetry: R3m, No. 160
energy relative to the elements, uncorrected: -0.580 eV per atom
raw total energy: -4.093 eV per atom

Geometry as extended XYZ:
```
14
Lattice="7.902 0.000 0.000 3.951 6.843 0.000 3.951 2.281 6.537" Properties=species:S:1:pos:R:3 pbc="T T T"
In 3.951 4.454 3.282
S 11.853 6.843 4.745
In 7.902 4.562 0.863
In 2.069 1.195 3.282
Bi 3.951 2.281 6.387
S 3.951 2.281 1.847
In 5.832 1.195 3.282
S 7.902 6.987 4.733
S 7.902 2.191 1.794
Na 7.902 4.562 5.763
S 5.848 5.748 1.794
S 9.955 5.748 1.794
S 10.002 3.349 4.733
S 5.801 3.349 4.733
```